No. 1
DFT (GGA-PBE) results for a relaxed structure of Fe2OsAu.

Values from the calculation:
Its energy relative to the lowest polymorph listed for this composition is 643 meV per atom. The formation energy from the elements comes out at 845 meV per atom. The density is 13.87 Mg/m³.

Cell lengths 5.4287, 5.4287, 5.4287 Å; angles 104.10, 104.10, 120.84 degrees
Positions (direct):
Fe (0.0836, 0.6250, 0.9586)
Fe (0.3750, 0.3336, 0.4586)
Fe (0.6664, 0.1250, 0.0414)
Fe (0.8750, 0.9164, 0.5414)
Os (0.0000, 0.0000, 0.0000)
Os (0.7500, 0.2500, 0.5000)
Au (0.2500, 0.7500, 0.5000)
Au (0.5000, 0.5000, 0.0000)



No. 2
DFT (GGA-PBE) results for a relaxed structure of Y2Zn2Se.

Values from the calculation:
Its energy relative to the lowest polymorph listed for this composition is 0 meV per atom. The value obtained for the uncorrected formation energy is -0.930 eV/atom. The density is 5.74 Mg/m³.

Cell lengths 7.9120, 7.9120, 7.9120 Å; angles 30.37, 30.37, 30.37 degrees
Positions (direct):
Y (0.0917, 0.0917, 0.0917)
Y (0.9083, 0.9083, 0.9083)
Zn (0.3280, 0.3280, 0.3280)
Zn (0.6720, 0.6720, 0.6720)
Se (0.5000, 0.5000, 0.5000)



No. 3
DFT (GGA-PBE) results for a relaxed structure of PC.

Values from the calculation:
Its energy relative to the lowest polymorph listed for this composition is 497 meV per atom. The formation energy from the elements comes out at 809 meV per atom. The density is 3.50 Mg/m³.

Cell lengths 4.7134, 5.0715, 6.8219 Å; angles 90.00, 90.00, 90.00 degrees
Positions (direct):
P (0.2222, 0.0530, 0.0352)
P (0.2289, 0.5411, 0.7859)
P (0.2711, 0.4589, 0.2859)
P (0.2778, 0.9470, 0.5352)
P (0.7222, 0.4470, 0.9648)
P (0.7289, 0.9589, 0.2141)
P (0.7711, 0.0411, 0.7141)
P (0.7778, 0.5530, 0.4648)
C (0.0955, 0.3908, 0.0350)
C (0.1041, 0.8848, 0.8126)
C (0.3959, 0.1152, 0.3126)
C (0.4045, 0.6092, 0.5350)
C (0.5955, 0.1092, 0.9650)
C (0.6041, 0.6152, 0.1874)
C (0.8959, 0.3848, 0.6874)
C (0.9045, 0.8908, 0.4650)



No. 4
DFT (GGA-PBE) results for a relaxed structure of TaSbPI2.

Values from the calculation:
Its energy relative to the lowest polymorph listed for this composition is 431 meV per atom. The value obtained for the uncorrected formation energy is 1.282 eV/atom. The density is 6.70 Mg/m³.

Cell lengths 5.2030, 5.2030, 5.3795 Å; angles 90.00, 90.00, 90.00 degrees
Positions (direct):
Ta (0.0000, 0.0000, 0.0000)
Sb (0.5000, 0.5000, 0.0000)
P (0.5000, 0.5000, 0.5000)
I (0.0000, 0.5000, 0.5000)
I (0.5000, 0.0000, 0.5000)